The following is a DFT calculation (GGA-PBE) of an optimized crystal structure of KNaTiIr2.

Computed properties:
- Magnetic moment: 0.0 μB/cell
- Formation energy from the elements: 2.34 eV/atom
- Calculated volume: 109.0 Å³/f.u.

Cell: 4.8995 4.8995 4.5388 Å, 90.00 90.00 90.00°
Fractional positions:
K1 0.0000 0.0000 0.0000
Na1 0.5000 0.5000 0.5000
Ti1 0.0000 0.0000 0.5000
Ir1 0.0000 0.5000 0.0000
Ir2 0.5000 0.0000 0.0000


The following is a DFT calculation (GGA-PBE) of an optimized crystal structure of Dy2ZnB2Ir5.

Computed properties:
- Magnetic moment: 0.0 μB/cell
- Formation energy from the elements: -0.67 eV/atom
- Calculated volume: 145.7 Å³/f.u.

Cell: 9.6397 9.6397 3.1349 Å, 90.00 90.00 90.00°
Fractional positions:
Dy1 0.1776 0.3224 0.0000
Dy2 0.3224 0.8224 0.0000
Dy3 0.6776 0.1776 0.0000
Dy4 0.8224 0.6776 0.0000
Zn1 0.0000 0.0000 0.0000
Zn2 0.5000 0.5000 0.0000
B1 0.1227 0.6227 0.0000
B2 0.3773 0.1227 0.0000
B3 0.6227 0.8773 0.0000
B4 0.8773 0.3773 0.0000
Ir1 0.0000 0.5000 0.5000
Ir2 0.0676 0.7799 0.5000
Ir3 0.2201 0.0676 0.5000
Ir4 0.2799 0.5676 0.5000
Ir5 0.4324 0.2799 0.5000
Ir6 0.5000 0.0000 0.5000
Ir7 0.5676 0.7201 0.5000
Ir8 0.7201 0.4324 0.5000
Ir9 0.7799 0.9324 0.5000
Ir10 0.9324 0.2201 0.5000


The following is a DFT calculation (GGA-PBE) of an optimized crystal structure of CeHoTlSn.

Computed properties:
- Magnetic moment: 4.3 μB/cell
- Relative energy among the computed polymorphs: 0.25 kcal/mol of atoms
- Formation energy from the elements: -0.42 eV/atom
- Calculated volume: 111.8 Å³/f.u.

Cell: 7.6475 7.6475 7.6475 Å, 90.00 90.00 90.00°
Fractional positions:
Ce1 0.0000 0.0000 0.0000
Ce2 0.0000 0.5000 0.5000
Ce3 0.5000 0.0000 0.5000
Ce4 0.5000 0.5000 0.0000
Ho1 0.0000 0.0000 0.5000
Ho2 0.0000 0.5000 0.0000
Ho3 0.5000 0.0000 0.0000
Ho4 0.5000 0.5000 0.5000
Tl1 0.2500 0.2500 0.2500
Tl2 0.2500 0.7500 0.7500
Tl3 0.7500 0.2500 0.7500
Tl4 0.7500 0.7500 0.2500
Sn1 0.2500 0.2500 0.7500
Sn2 0.2500 0.7500 0.2500
Sn3 0.7500 0.2500 0.2500
Sn4 0.7500 0.7500 0.7500


The following is a DFT calculation (GGA-PBE) of an optimized crystal structure of Pm6Dy3Tm.

Computed properties:
- Magnetic moment: 0.0 μB/cell
- Relative energy among the computed polymorphs: 1.34 kcal/mol of atoms
- Formation energy from the elements: 0.20 eV/atom
- Calculated volume: 336.5 Å³/f.u.

Cell: 6.1177 9.4019 13.1487 Å, 90.00 117.14 90.00°
Fractional positions:
Pm1 0.0785 0.1549 0.0804
Pm2 0.0785 0.3451 0.5804
Pm3 0.3768 0.0320 0.7495
Pm4 0.3768 0.4680 0.2495
Pm5 0.4184 0.1576 0.4207
Pm6 0.4184 0.3424 0.9207
Pm7 0.5816 0.6576 0.0793
Pm8 0.5816 0.8424 0.5793
Pm9 0.6232 0.5320 0.7505
Pm10 0.6232 0.9680 0.2505
Pm11 0.9215 0.6549 0.4196
Pm12 0.9215 0.8451 0.9196
Dy1 0.0000 0.0000 0.5000
Dy2 0.0000 0.5000 0.0000
Dy3 0.1413 0.6785 0.7499
Dy4 0.1413 0.8215 0.2499
Dy5 0.8587 0.1785 0.7501
Dy6 0.8587 0.3215 0.2501
Tm1 0.5000 0.0000 0.0000
Tm2 0.5000 0.5000 0.5000


The following is a DFT calculation (GGA-PBE) of an optimized crystal structure of NiPd8Pt2.

Computed properties:
- Magnetic moment: 2.9 μB/cell
- Relative energy among the computed polymorphs: 6.31 kcal/mol of atoms
- Formation energy from the elements: 0.27 eV/atom
- Calculated volume: 183.0 Å³/f.u.

Cell: 6.7740 6.7740 4.7688 Å, 102.69 102.69 59.81°
Fractional positions:
Ni1 0.0000 0.0000 0.0000
Pd1 0.2258 0.2258 0.0758
Pd2 0.2366 0.6299 0.2055
Pd3 0.3524 0.3524 0.6573
Pd4 0.3701 0.7634 0.7945
Pd5 0.6299 0.2366 0.2055
Pd6 0.6476 0.6476 0.3427
Pd7 0.7634 0.3701 0.7945
Pd8 0.7742 0.7742 0.9242
Pt1 0.1177 0.1177 0.5016
Pt2 0.8823 0.8823 0.4984


The following is a DFT calculation (GGA-PBE) of an optimized crystal structure of Rb3Tl4Hg2Bi2.

Computed properties:
- Magnetic moment: 0.0 μB/cell
- Formation energy from the elements: -0.20 eV/atom
- Calculated volume: 459.8 Å³/f.u.

Cell: 19.2058 19.2058 19.2058 Å, 165.24 165.24 20.93°
Fractional positions:
Rb1 0.0000 0.0000 0.0000
Rb2 0.1751 0.1751 0.0000
Rb3 0.8249 0.8249 0.0000
Tl1 0.0813 0.5813 0.5000
Tl2 0.4187 0.9187 0.5000
Tl3 0.5813 0.0813 0.5000
Tl4 0.9187 0.4187 0.5000
Hg1 0.2737 0.2737 0.0000
Hg2 0.7263 0.7263 0.0000
Bi1 0.3627 0.3627 0.0000
Bi2 0.6373 0.6373 0.0000


The following is a DFT calculation (GGA-PBE) of an optimized crystal structure of La2CrRhN.

Computed properties:
- Magnetic moment: 3.1 μB/cell
- ΔE_f (raw): -62.0 kJ/mol of atoms
- Calculated volume: 103.1 Å³/f.u.

Cell: 5.2176 5.2176 3.7879 Å, 90.00 90.00 90.00°
Fractional positions:
La1 0.0000 0.5000 0.0000
La2 0.5000 0.0000 0.0000
Cr1 0.0000 0.0000 0.5000
Rh1 0.5000 0.5000 0.5000
N1 0.0000 0.0000 0.0000


The following is a DFT calculation (GGA-PBE) of an optimized crystal structure of MgClF2.

Computed properties:
- Magnetic moment: 4.0 μB/cell
- Relative energy among the computed polymorphs: 25.07 kcal/mol of atoms
- ΔE_f (raw): -140.4 kJ/mol of atoms
- Calculated volume: 53.5 Å³/f.u.

Cell: 5.9805 5.9805 5.9805 Å, 90.00 90.00 90.00°
Fractional positions:
Mg1 0.0000 0.0000 0.0000
Mg2 0.0000 0.5000 0.5000
Mg3 0.5000 0.0000 0.5000
Mg4 0.5000 0.5000 0.0000
Cl1 0.0000 0.0000 0.5000
Cl2 0.0000 0.5000 0.0000
Cl3 0.5000 0.0000 0.0000
Cl4 0.5000 0.5000 0.5000
F1 0.2500 0.2500 0.2500
F2 0.2500 0.2500 0.7500
F3 0.2500 0.7500 0.2500
F4 0.2500 0.7500 0.7500
F5 0.7500 0.2500 0.2500
F6 0.7500 0.2500 0.7500
F7 0.7500 0.7500 0.2500
F8 0.7500 0.7500 0.7500


The following is a DFT calculation (GGA-PBE) of an optimized crystal structure of LiNbPt4.

Computed properties:
- Magnetic moment: 0.0 μB/cell
- Relative energy among the computed polymorphs: 0.00 kcal/mol of atoms
- Formation energy from the elements: -0.52 eV/atom
- Calculated volume: 92.7 Å³/f.u.

Cell: 9.2068 3.7772 5.6079 Å, 90.00 108.03 90.00°
Fractional positions:
Li1 0.0000 0.0000 0.0000
Li2 0.5000 0.5000 0.0000
Nb1 0.0000 0.0000 0.5000
Nb2 0.5000 0.5000 0.5000
Pt1 0.1532 0.5000 0.8373
Pt2 0.1636 0.5000 0.3316
Pt3 0.3364 0.0000 0.6684
Pt4 0.3468 0.0000 0.1627
Pt5 0.6532 0.0000 0.8373
Pt6 0.6636 0.0000 0.3316
Pt7 0.8364 0.5000 0.6684
Pt8 0.8468 0.5000 0.1627


The following is a DFT calculation (GGA-PBE) of an optimized crystal structure of Sr2SiIr.

Computed properties:
- Magnetic moment: 0.0 μB/cell
- ΔE_f (raw): 3.6 kJ/mol of atoms
- Calculated volume: 99.0 Å³/f.u.

Cell: 3.6297 4.0625 6.7162 Å, 90.00 90.00 90.00°
Fractional positions:
Sr1 0.0000 0.0000 0.2406
Sr2 0.0000 0.0000 0.7594
Si1 0.5000 0.5000 0.5000
Ir1 0.5000 0.5000 0.0000


The following is a DFT calculation (GGA-PBE) of an optimized crystal structure of Na2SrZn.

Computed properties:
- Magnetic moment: 0.0 μB/cell
- Formation energy from the elements: 0.09 eV/atom
- Calculated volume: 135.5 Å³/f.u.

Cell: 4.0900 4.0900 8.1016 Å, 90.00 90.00 90.00°
Fractional positions:
Na1 0.0000 0.0000 0.1913
Na2 0.0000 0.0000 0.8087
Sr1 0.5000 0.5000 0.5000
Zn1 0.5000 0.5000 0.0000


The following is a DFT calculation (GGA-PBE) of an optimized crystal structure of FeReBr2.

Computed properties:
- Magnetic moment: 0.0 μB/cell
- Relative energy among the computed polymorphs: 0.00 kcal/mol of atoms
- ΔE_f (raw): 30.0 kJ/mol of atoms
- Calculated volume: 89.4 Å³/f.u.

Cell: 6.1742 3.3892 8.6359 Å, 90.00 98.32 90.00°
Fractional positions:
Fe1 0.0000 0.0000 0.0000
Fe2 0.5000 0.5000 0.0000
Re1 0.1476 0.5000 0.8679
Re2 0.6476 0.0000 0.8679
Br1 0.1301 0.0000 0.6329
Br2 0.3452 0.0000 0.1985
Br3 0.6301 0.5000 0.6329
Br4 0.8452 0.5000 0.1985


The following is a DFT calculation (GGA-PBE) of an optimized crystal structure of Rb2GeI6.

Computed properties:
- Magnetic moment: 0.0 μB/cell
- ΔE_f (raw): -61.9 kJ/mol of atoms
- Calculated volume: 481.9 Å³/f.u.

Cell: 7.9340 7.9340 15.3124 Å, 90.00 90.00 90.00°
Fractional positions:
Rb1 0.0000 0.0000 0.1651
Rb2 0.0000 0.0000 0.8349
Rb3 0.5000 0.5000 0.3349
Rb4 0.5000 0.5000 0.6651
Ge1 0.0000 0.0000 0.5000
Ge2 0.5000 0.5000 0.0000
I1 0.1735 0.1735 0.3698
I2 0.1735 0.1735 0.6302
I3 0.2483 0.7517 0.5000
I4 0.2517 0.2517 0.0000
I5 0.3265 0.6735 0.1302
I6 0.3265 0.6735 0.8698
I7 0.6735 0.3265 0.1302
I8 0.6735 0.3265 0.8698
I9 0.7483 0.7483 0.0000
I10 0.7517 0.2483 0.5000
I11 0.8265 0.8265 0.3698
I12 0.8265 0.8265 0.6302


The following is a DFT calculation (GGA-PBE) of an optimized crystal structure of CdInAg2.

Computed properties:
- Magnetic moment: 0.0 μB/cell
- Formation energy from the elements: 0.03 eV/atom
- Calculated volume: 82.3 Å³/f.u.

Cell: 3.1106 3.1106 8.5071 Å, 90.00 90.00 90.00°
Fractional positions:
Cd1 0.0000 0.0000 0.0000
In1 0.5000 0.5000 0.2862
Ag1 0.0000 0.0000 0.5353
Ag2 0.5000 0.5000 0.7639


The following is a DFT calculation (GGA-PBE) of an optimized crystal structure of CoIrS3.

Computed properties:
- Magnetic moment: 0.0 μB/cell
- Relative energy among the computed polymorphs: 0.00 kcal/mol of atoms
- ΔE_f (raw): 89.6 kJ/mol of atoms
- Calculated volume: 79.0 Å³/f.u.

Cell: 4.2910 4.2910 4.2910 Å, 90.00 90.00 90.00°
Fractional positions:
Co1 0.0000 0.0000 0.0000
Ir1 0.5000 0.5000 0.5000
S1 0.0000 0.0000 0.5000
S2 0.0000 0.5000 0.0000
S3 0.5000 0.0000 0.0000


The following is a DFT calculation (GGA-PBE) of an optimized crystal structure of LaYNiRh.

Computed properties:
- Magnetic moment: 0.0 μB/cell
- Relative energy among the computed polymorphs: 1.65 kcal/mol of atoms
- Formation energy from the elements: -0.51 eV/atom
- Calculated volume: 86.0 Å³/f.u.

Cell: 7.0058 7.0058 7.0058 Å, 90.00 90.00 90.00°
Fractional positions:
La1 0.0000 0.0000 0.0000
La2 0.0000 0.5000 0.5000
La3 0.5000 0.0000 0.5000
La4 0.5000 0.5000 0.0000
Y1 0.0000 0.0000 0.5000
Y2 0.0000 0.5000 0.0000
Y3 0.5000 0.0000 0.0000
Y4 0.5000 0.5000 0.5000
Ni1 0.2500 0.2500 0.2500
Ni2 0.2500 0.7500 0.7500
Ni3 0.7500 0.2500 0.7500
Ni4 0.7500 0.7500 0.2500
Rh1 0.2500 0.2500 0.7500
Rh2 0.2500 0.7500 0.2500
Rh3 0.7500 0.2500 0.2500
Rh4 0.7500 0.7500 0.7500


The following is a DFT calculation (GGA-PBE) of an optimized crystal structure of AlSi2Ni.

Computed properties:
- Magnetic moment: 0.0 μB/cell
- ΔE_f (raw): 1.2 kJ/mol of atoms
- Calculated volume: 53.1 Å³/f.u.

Cell: 5.2129 7.2837 2.7956 Å, 90.00 90.00 90.00°
Fractional positions:
Al1 0.0000 0.0000 0.0000
Al2 0.5000 0.5000 0.0000
Si1 0.2500 0.2500 0.5000
Si2 0.2500 0.7500 0.5000
Si3 0.7500 0.2500 0.5000
Si4 0.7500 0.7500 0.5000
Ni1 0.0000 0.5000 0.0000
Ni2 0.5000 0.0000 0.0000


The following is a DFT calculation (GGA-PBE) of an optimized crystal structure of Pa2Co3Si4Ru.

Computed properties:
- Magnetic moment: 0.0 μB/cell
- ΔE_f (raw): -77.4 kJ/mol of atoms
- Calculated volume: 150.8 Å³/f.u.

Cell: 3.9969 3.9969 9.4401 Å, 90.00 90.00 90.00°
Fractional positions:
Pa1 0.0000 0.5000 0.2483
Pa2 0.5000 0.0000 0.7517
Co1 0.0000 0.5000 0.8754
Co2 0.5000 0.0000 0.1246
Co3 0.5000 0.5000 0.5000
Si1 0.0000 0.0000 0.0000
Si2 0.0000 0.5000 0.6344
Si3 0.5000 0.0000 0.3656
Si4 0.5000 0.5000 0.0000
Ru1 0.0000 0.0000 0.5000


The following is a DFT calculation (GGA-PBE) of an optimized crystal structure of YOs2Br.

Computed properties:
- Magnetic moment: 0.0 μB/cell
- Relative energy among the computed polymorphs: 20.85 kcal/mol of atoms
- ΔE_f (raw): 81.2 kJ/mol of atoms
- Calculated volume: 76.7 Å³/f.u.

Cell: 5.2544 8.9678 3.2544 Å, 90.00 90.00 90.00°
Fractional positions:
Y1 0.0000 0.0000 0.0000
Y2 0.5000 0.5000 0.0000
Os1 0.2500 0.2500 0.5000
Os2 0.2500 0.7500 0.5000
Os3 0.7500 0.2500 0.5000
Os4 0.7500 0.7500 0.5000
Br1 0.0000 0.5000 0.0000
Br2 0.5000 0.0000 0.0000


The following is a DFT calculation (GGA-PBE) of an optimized crystal structure of TaTlCr2.

Computed properties:
- Magnetic moment: 15.3 μB/cell
- Relative energy among the computed polymorphs: 2.20 kcal/mol of atoms
- Formation energy from the elements: 0.48 eV/atom
- Calculated volume: 65.3 Å³/f.u.

Cell: 6.3927 6.3927 6.3927 Å, 90.00 90.00 90.00°
Fractional positions:
Ta1 0.0000 0.0000 0.0000
Ta2 0.0000 0.5000 0.5000
Ta3 0.5000 0.0000 0.5000
Ta4 0.5000 0.5000 0.0000
Tl1 0.0000 0.0000 0.5000
Tl2 0.0000 0.5000 0.0000
Tl3 0.5000 0.0000 0.0000
Tl4 0.5000 0.5000 0.5000
Cr1 0.2500 0.2500 0.2500
Cr2 0.2500 0.2500 0.7500
Cr3 0.2500 0.7500 0.2500
Cr4 0.2500 0.7500 0.7500
Cr5 0.7500 0.2500 0.2500
Cr6 0.7500 0.2500 0.7500
Cr7 0.7500 0.7500 0.2500
Cr8 0.7500 0.7500 0.7500